The following is a PBE with a Hubbard U calculation of LiCoP3O9 after structural relaxation, from OQMD.

Cell lengths 8.3241, 8.4741, 8.5777 Å; angles 90.00, 90.00, 90.00 degrees
Atoms (fractional coordinates):
Li (0.1505, 0.1362, 0.1163)
Li (0.3495, 0.8638, 0.6163)
Li (0.6505, 0.3638, 0.8837)
Li (0.8495, 0.6362, 0.3837)
Co (0.1287, 0.8582, 0.3451)
Co (0.3713, 0.1418, 0.8451)
Co (0.6287, 0.6418, 0.6549)
Co (0.8713, 0.3582, 0.1549)
P (0.0279, 0.3187, 0.8165)
P (0.1853, 0.4791, 0.3108)
P (0.2027, 0.8082, 0.9444)
P (0.2973, 0.1918, 0.4444)
P (0.3147, 0.5209, 0.8108)
P (0.4721, 0.6813, 0.3165)
P (0.5279, 0.1813, 0.1835)
P (0.6853, 0.0209, 0.6892)
P (0.7027, 0.6918, 0.0556)
P (0.7973, 0.3082, 0.5556)
P (0.8147, 0.9791, 0.1892)
P (0.9721, 0.8187, 0.6835)
O (0.0394, 0.7689, 0.8506)
O (0.0877, 0.6162, 0.3662)
O (0.1082, 0.8759, 0.5840)
O (0.1212, 0.3807, 0.1786)
O (0.1301, 0.1881, 0.8802)
O (0.1382, 0.4645, 0.7628)
O (0.1576, 0.8648, 0.1028)
O (0.1867, 0.0940, 0.3458)
O (0.2238, 0.3671, 0.4583)
O (0.2762, 0.6329, 0.9583)
O (0.3133, 0.9060, 0.8458)
O (0.3424, 0.1352, 0.6028)
O (0.3618, 0.5355, 0.2628)
O (0.3699, 0.8119, 0.3802)
O (0.3788, 0.6193, 0.6786)
O (0.3918, 0.1241, 0.0840)
O (0.4123, 0.3838, 0.8662)
O (0.4606, 0.2311, 0.3506)
O (0.5394, 0.7311, 0.1494)
O (0.5877, 0.8838, 0.6338)
O (0.6082, 0.6241, 0.4160)
O (0.6212, 0.1193, 0.8214)
O (0.6301, 0.3119, 0.1198)
O (0.6382, 0.0355, 0.2372)
O (0.6576, 0.6352, 0.8972)
O (0.6867, 0.4060, 0.6542)
O (0.7238, 0.1329, 0.5417)
O (0.7762, 0.8671, 0.0417)
O (0.8133, 0.5940, 0.1542)
O (0.8424, 0.3648, 0.3972)
O (0.8618, 0.9645, 0.7372)
O (0.8699, 0.6881, 0.6198)
O (0.8788, 0.8807, 0.3214)
O (0.8918, 0.3759, 0.9160)
O (0.9123, 0.1162, 0.1338)
O (0.9606, 0.2689, 0.6494)

Summary:
Its symmetry is P2_12_12_1. As for the total energy: -6.91 eV per atom.